First-principles (PBE-GGA) data for a relaxed CaBePb3 crystal, as listed in the Alexandria database.

extended XYZ file:
```
5
Lattice="5.892 0.000 0.000 0.000 5.892 0.000 0.000 0.000 5.892" Properties=species:S:1:pos:R:3 pbc="T T T"
Pb 0.000 2.946 0.000
Pb 0.000 0.000 2.946
Pb 2.946 0.000 0.000
Ca 0.000 0.000 0.000
Be 2.946 2.946 2.946
```

The formation energy is 538.9 kJ/mol of formula units. As for the space-group type: Pm-3m. The energy above the most stable polymorph in this dataset is 1.0027 eV/atom. The value obtained for the electronic total energy is -2.25 eV/atom.